Record 1
Below is a relaxed HgRhCl2 crystal, with properties calculated at the PBE level.

Lattice parameters (Å, degrees): 3.132 3.426 9.522 90.00 90.08 90.00
Sites, in units of the cell vectors:
Hg: 0.000 0.000 0.000
Rh: 0.500 0.000 0.500
Cl: 0.500 0.500 0.335
Cl: 0.500 0.500 0.665

Results
Space-group type: P2/m (10)
Energy above the lowest structure with this stoichiometry: 49 meV per atom
Volume: 102.2 Å³/f.u.
Raw formation energy: -1.0 eV/f.u.
DFT total energy: -12.34 eV for the cell shown

=====

Record 2
Below is a relaxed NaHf crystal, with properties calculated at the PBE level.

Lattice parameters (Å, degrees): 4.133 4.133 4.133 60.00 60.00 60.00
Sites, in units of the cell vectors:
Na: 0.000 0.000 0.000
Hf: 0.500 0.500 0.500

Results
Space-group type: Fm-3m (225)
E_form: 164.40 kJ/mol of atoms
Energy above the lowest structure with this stoichiometry: 1287 meV per atom
Volume: 49.9 Å³/f.u.
DFT total energy: -7.86 eV for the cell shown

=====

Record 3
Below is a relaxed BeCr2Os crystal, with properties calculated at the PBE level.

Lattice parameters (Å, degrees): 5.189 5.189 5.189 100.22 100.22 130.18
Sites, in units of the cell vectors:
Be: 0.000 0.000 0.000
Be: 0.750 0.250 0.500
Cr: 0.052 0.625 0.927
Cr: 0.375 0.302 0.427
Cr: 0.698 0.125 0.073
Cr: 0.875 0.948 0.573
Os: 0.250 0.750 0.500
Os: 0.500 0.500 0.000

Results
Space-group type: I-42d (122)
E_form: 65.45 kJ/mol of atoms
Volume: 48.4 Å³/f.u.
DFT total energy: -62.98 eV for the cell shown

=====

What did the second record say?
Below is a relaxed NaHf crystal, with properties calculated at the PBE level.

Lattice parameters (Å, degrees): 4.133 4.133 4.133 60.00 60.00 60.00
Sites, in units of the cell vectors:
Na: 0.000 0.000 0.000
Hf: 0.500 0.500 0.500

Results
Space-group type: Fm-3m (225)
E_form: 164.40 kJ/mol of atoms
Energy above the lowest structure with this stoichiometry: 1287 meV per atom
Volume: 49.9 Å³/f.u.
DFT total energy: -7.86 eV for the cell shown

=====

> Among the records above, which one has the lowest DFT total energy?

BeCr2Os

=====

> Among the records above, which one has the lowest volume?

BeCr2Os